# PBE NaIrPd2Se, relaxed
# VASP energy	-16.7	eV for the cell shown
# ΔE_f (raw)	7.32	eV per formula unit
# calculated density	8.5	g cm⁻³
data_NaIrPd2Se
_cell_length_a 4.542
_cell_length_b 4.542
_cell_length_c 4.780
_cell_angle_alpha 90.00
_cell_angle_beta 90.00
_cell_angle_gamma 90.00
_space_group_name_H-M_alt 'P 4/m m m'
_space_group_IT_number 123
_space_group_name_Hall '-P 4 2'
loop_
_atom_site_label
_atom_site_type_symbol
_atom_site_fract_x
_atom_site_fract_y
_atom_site_fract_z
Na1 Na 0.000 0.000 0.000
Ir1 Ir 0.500 0.500 0.500
Pd1 Pd 0.000 0.500 0.000
Se1 Se 0.000 0.000 0.500